A relaxed Ba2H7Ru crystal. Source: Alexandria via LeMat-Bulk, functional PBE.

```
Ba2H7Ru
1.0
-1.514 -3.483 4.203
2.078 -5.266 0.202
3.755 -1.412 4.000
Ba H Ru
2 7 1
direct
0.250 0.250 0.250
0.750 0.750 0.750
0.500 0.500 0.500
0.216 0.784 0.784
0.216 0.784 0.216
0.784 0.216 0.784
0.784 0.784 0.216
0.216 0.216 0.784
0.784 0.216 0.216
0.000 0.000 0.000
```

* SG: Fm-3m
* DFT total energy: -39.55 eV/cell


A relaxed ScMoIr crystal. Source: Alexandria via LeMat-Bulk, functional PBE.

```
ScMoIr
1.0
-0.985 -1.160 4.088
1.382 -3.826 1.574
3.119 -0.106 3.048
Ir Mo Sc
1 1 1
direct
0.250 0.250 0.250
0.000 0.000 0.000
0.500 0.500 0.500
```

* DFT formation energy: -93 meV per atom
* SG: F-43m
* DFT total energy: -26.30 eV/cell
* relative energy among the computed polymorphs: 185 meV per atom


DFT total energy of number 2 (ScMoIr)? -26.30 eV/cell


DFT total energy of number 1 (Ba2H7Ru)? -39.55 eV/cell


What is the DFT total energy in the first record? -39.55 eV/cell


Which of these has the lowest DFT total energy? Ba2H7Ru